Crystalline Dy3P2Rh9Pb at its relaxed geometry, computed with GGA-PBE.

abc: 6.0524 6.0524 9.4959
angles: 90.00 90.00 120.00
Space group P-3m1 (No. 164)
One atom of each set of equivalent atoms:
1 Dy 0.0000 0.0000 0.0000 (multiplicity 1)
2 Dy 0.3333 0.6667 0.7388 (multiplicity 2)
3 P 0.3333 0.6667 0.1570 (multiplicity 2)
4 Rh 0.0000 0.5000 0.0000 (multiplicity 3)
5 Rh 0.1497 0.2994 0.2622 (multiplicity 6)
6 Pb 0.0000 0.0000 0.5000 (multiplicity 1)

Calculated values
- Density: 9.28 g cm⁻³
- Energy of formation from the pure elements: -0.610 eV per atom
- Crystal system: trigonal
- Total magnetization: 0.00 μB per cell

Crystalline HfFeTc2 at its relaxed geometry, computed with GGA-PBE.

abc: 3.165 3.165 6.158
angles: 90.00 90.00 90.00
Space group P4/mmm (No. 123)
One atom of each set of equivalent atoms:
1 Hf 0.000 0.000 0.000 (multiplicity 1)
2 Fe 0.000 0.000 0.500 (multiplicity 1)
3 Tc 0.500 0.500 0.275 (multiplicity 2)

Calculated values
- Energy above the most stable polymorph in this dataset: 0 meV per atom
- Density: 11.58 g cm⁻³
- Energy of formation from the pure elements: -0.079 eV per atom
- Crystal system: tetragonal
- Total magnetization: 2.52 μB per cell

Crystalline Ce5Ga3Au3 at its relaxed geometry, computed with GGA-PBE.

abc: 9.7444 9.7444 3.0701
angles: 90.00 90.00 120.00
Space group P-62m (No. 189)
One atom of each set of equivalent atoms:
1 Ce 0.0000 0.6454 0.0000 (multiplicity 3)
2 Ce 0.3333 0.6667 0.0000 (multiplicity 2)
3 Ga 0.0000 0.1522 0.0000 (multiplicity 3)
4 Au 0.0000 0.3716 0.5000 (multiplicity 3)

Calculated values
- Density: 9.87 g cm⁻³
- Energy of formation from the pure elements: -0.172 eV per atom
- Crystal system: hexagonal
- Total magnetization: 3.99 μB per cell